## ReAgCl2 (PBE)

Data for a geometry-optimized ReAgCl2 structure.

Computed properties:
Energy relative to the lowest polymorph listed for this composition ... 795 meV per atom
Raw formation energy ... 977 meV/atom
Mass density ... 8.91 Mg/m³
SG ... No. 65

a = 4.840 Å, b = 4.840 Å, c = 2.954 Å
α = 90.00°, β = 90.00°, γ = 100.65°
Fractional coordinates of all 4 atoms:
Re: 0.000 0.000 0.000
Ag: 0.500 0.500 0.000
Cl: 0.000 0.500 0.500
Cl: 0.500 0.000 0.500